Below is ThCoMoP2 after structural relaxation, with properties calculated at the PBE-GGA level.

The formation energy is -0.827 eV/atom. The density comes out at 8.885 Mg/m³. As for the density of states at the Fermi level: 4.771 states/eV per cell.

It has space group I-4m2 (No. 119), with a = 4.023 Å, b = 4.023 Å, c = 10.366 Å, α = 90.00°, β = 90.00° and γ = 90.00°. The asymmetric unit holds Th at (0.000, 0.000, 0.000), Co at (0.000, 0.500, 0.250), Mo at (0.000, 0.500, 0.750) and P at (0.000, 0.000, 0.364).

Below is Pm5Ga4Hg after structural relaxation, with properties calculated at the PBE-GGA level.

The formation energy is -0.550 eV/atom. The density comes out at 7.909 Mg/m³. As for the density of states at the Fermi level: 5.753 states/eV per cell.

It has space group P4/mmm (No. 123), with a = 3.674 Å, b = 3.674 Å, c = 18.736 Å, α = 90.00°, β = 90.00° and γ = 90.00°. The asymmetric unit holds Pm at (0.000, 0.000, 0.000), Pm at (0.000, 0.000, 0.195), Pm at (0.000, 0.000, 0.390), Ga at (0.500, 0.500, 0.097), Ga at (0.500, 0.500, 0.295) and Hg at (0.500, 0.500, 0.500).

Below is SmPClO4 after structural relaxation, with properties calculated at the PBE-GGA level.

The density comes out at 3.941 Mg/m³. For the uncorrected formation energy, the calculation gives -17.20 eV/f.u.

It has space group C2/m (No. 12), with a = 10.885 Å, b = 6.579 Å, c = 6.710 Å, α = 90.00°, β = 100.00° and γ = 90.00°. The asymmetric unit holds Sm at (0.204, 0.000, 0.331), P at (0.147, 0.000, 0.773), Cl at (0.030, 0.500, 0.368), O at (0.004, 0.000, 0.748), O at (0.192, 0.185, 0.655) and O at (0.209, 0.000, 0.995).

Below is SmYScAl after structural relaxation, with properties calculated at the PBE-GGA level.

The formation energy is -0.111 eV/atom. The density comes out at 4.962 Mg/m³. As for the density of states at the Fermi level: 23.271 states/eV per cell.

It has space group F-43m (No. 216), with a = 7.468 Å, b = 7.468 Å, c = 7.468 Å, α = 90.00°, β = 90.00° and γ = 90.00°. The asymmetric unit holds Sm at (0.000, 0.000, 0.000), Y at (0.000, 0.000, 0.500), Sc at (0.250, 0.250, 0.750) and Al at (0.250, 0.250, 0.250).